VASP calculation (PBE-GGA) on a geometry-optimized LuCoRhPb structure.

```
16
Lattice="6.5756 0.0000 0.0000 0.0000 6.5756 0.0000 0.0000 0.0000 6.5756" Properties=species:S:1:pos:R:3 pbc="T T T"
Lu 0.0000 0.0000 0.0000
Lu 0.0000 3.2878 3.2878
Lu 3.2878 0.0000 3.2878
Lu 3.2878 3.2878 0.0000
Co 1.6439 1.6439 1.6439
Co 1.6439 4.9317 4.9317
Co 4.9317 1.6439 4.9317
Co 4.9317 4.9317 1.6439
Rh 1.6439 1.6439 4.9317
Rh 1.6439 4.9317 1.6439
Rh 4.9317 1.6439 1.6439
Rh 4.9317 4.9317 4.9317
Pb 0.0000 0.0000 3.2878
Pb 0.0000 3.2878 0.0000
Pb 3.2878 0.0000 0.0000
Pb 3.2878 3.2878 3.2878
```

Properties
As for the energy of formation from the pure elements: -0.31 eV/atom. As for the space group: F-43m, No. 216.

VASP calculation (PBE-GGA) on a geometry-optimized LuCoRuPb structure.

```
16
Lattice="6.5328 0.0000 0.0000 0.0000 6.5328 0.0000 0.0000 0.0000 6.5328" Properties=species:S:1:pos:R:3 pbc="T T T"
Lu 0.0000 0.0000 0.0000
Lu 0.0000 3.2664 3.2664
Lu 3.2664 0.0000 3.2664
Lu 3.2664 3.2664 0.0000
Co 1.6332 1.6332 1.6332
Co 1.6332 4.8996 4.8996
Co 4.8996 1.6332 4.8996
Co 4.8996 4.8996 1.6332
Ru 1.6332 1.6332 4.8996
Ru 1.6332 4.8996 1.6332
Ru 4.8996 1.6332 1.6332
Ru 4.8996 4.8996 4.8996
Pb 0.0000 0.0000 3.2664
Pb 0.0000 3.2664 0.0000
Pb 3.2664 0.0000 0.0000
Pb 3.2664 3.2664 3.2664
```

Properties
As for the energy of formation from the pure elements: -0.09 eV/atom. As for the space group: F-43m, No. 216.